i | Computed, not measured: a geometry-optimized SnPt2Rh2 structure at the PBE level of DFT.

total magnetic moment = 0.00 μB/cell
SG = P6_3/mmc

Lattice parameters (Å, degrees): 4.417 4.417 10.245 90.00 90.00 120.00
Fractional positions:
Sn 0.000 0.000 0.250
Sn 0.000 0.000 0.750
Pt 0.000 0.000 0.000
Pt 0.000 0.000 0.500
Pt 0.333 0.667 0.250
Pt 0.667 0.333 0.750
Rh 0.333 0.667 0.580
Rh 0.333 0.667 0.920
Rh 0.667 0.333 0.080
Rh 0.667 0.333 0.420

=====

ii | Computed, not measured: a geometry-optimized SnPt2Rh2 structure at the PBE level of DFT.

total magnetic moment = 0.00 μB/cell
SG = P4/mbm

Lattice parameters (Å, degrees): 6.773 6.773 3.732 90.00 90.00 90.00
Fractional positions:
Sn 0.000 0.000 0.000
Sn 0.500 0.500 0.000
Pt 0.153 0.347 0.500
Pt 0.347 0.847 0.500
Pt 0.653 0.153 0.500
Pt 0.847 0.653 0.500
Rh 0.137 0.637 0.000
Rh 0.363 0.137 0.000
Rh 0.637 0.863 0.000
Rh 0.863 0.363 0.000

=====

ii is the most stable structure shown above.